DFT (GGA-PBE) results for an optimized crystal structure of Sm12Er7Tl.

The energy of formation is 0.17 eV/atom. The density of states at the Fermi level is 1.66 states/eV/atom. The spin magnetization comes out at 0.04 μB/f.u.

The structure belongs to space group R-3 (No. 148, hexagonal axes); the cell edges are 12.1621, 12.1621 and 15.3233 Å and the angles 90.00°, 90.00° and 120.00°. The inequivalent atoms are Sm at (0.0281, 0.5783, 0.2112), Sm at (0.0577, 0.4684, 0.5847), Er at (0.0000, 0.0000, 0.0000), Er at (0.0498, 0.8638, 0.3036) and Tl at (0.0000, 0.0000, 0.5000).